# DyMgTe2O8 (PBE-GGA, optimized geometry)
# - density (g cm⁻³) = 5.4
# - formation energy (no corrections) (eV per atom) = -1.634
data_DyMgTe2O8
_space_group_name_H-M_alt 'I -4 m 2'
_space_group_IT_number 119
_space_group_name_Hall 'I -4 -2'
_cell_length_a 7.207
_cell_length_b 7.207
_cell_length_c 6.714
_cell_angle_alpha 90.00
_cell_angle_beta 90.00
_cell_angle_gamma 90.00
loop_
_atom_site_label
_atom_site_fract_x
_atom_site_fract_y
_atom_site_fract_z
Dy1 0.000 0.000 0.000
Mg1 0.000 0.500 0.250
Te1 0.000 0.000 0.500
Te2 0.000 0.500 0.750
O1 0.000 0.192 0.305
O2 0.000 0.313 0.945